# 1
First-principles (PBE) data for an optimized crystal structure of Rb2YPa3O12, as listed in Alexandria via LeMat-Bulk. Values from VASP.

Formation energy (no corrections), eV per formula unit: -48.46
DOS at the Fermi energy, states/eV/f.u.: 15.3
M_tot, μB per atom: 0.183

Structure (Quantum ESPRESSO input):
```
&SYSTEM
  ibrav = 0, nat = 18, ntyp = 4
/
ATOMIC_SPECIES
Rb 85.47 Rb.upf
O 16.00 O.upf
Pa 231.04 Pa.upf
Y 88.91 Y.upf
CELL_PARAMETERS angstrom
8.0519 -0.0972 -0.0689
3.8919 7.0495 -0.0689
3.8919 2.2654 6.6759
ATOMIC_POSITIONS angstrom
Rb 5.3086 3.0900 2.1917
Rb 10.5272 6.1277 4.3463
O 12.4209 7.2300 2.0604
O 3.4149 4.8830 0.3957
O 5.9325 0.5579 0.3957
O 7.4030 7.3858 1.9787
O 5.7575 6.4281 4.5594
O 8.4329 4.9086 0.2216
O 9.9033 8.6598 6.1423
O 3.4149 1.9878 4.4776
O 7.4030 4.3091 6.3164
O 12.4209 4.3347 6.1423
O 8.4329 1.8319 4.5594
O 10.0783 2.7897 1.9787
Pa 4.0260 -0.0486 -0.0345
Pa 1.9460 3.5248 -0.0345
Pa 1.9460 1.1327 3.3380
Y 0.0000 0.0000 0.0000
```

---

# 2
First-principles (PBE) data for an optimized crystal structure of Tb4Nd2Sn3H2, as listed in Alexandria via LeMat-Bulk. Values from VASP.

Total energy, eV/cell: -53.144
DOS at the Fermi energy, states/eV/f.u.: 10.4
M_tot, μB per atom: 0.000

Structure (Quantum ESPRESSO input):
```
&SYSTEM
  ibrav = 0, nat = 11, ntyp = 4
/
ATOMIC_SPECIES
Sn 118.71 Sn.upf
H 1.01 H.upf
Nd 144.24 Nd.upf
Tb 158.93 Tb.upf
CELL_PARAMETERS angstrom
-2.2347 -1.3347 -3.9598
-1.2594 -4.0666 2.0814
-8.8323 8.1010 5.0892
ATOMIC_POSITIONS angstrom
Sn -8.6862 0.8415 1.7828
Sn -3.6402 1.8582 1.4279
Sn 0.0000 0.0000 0.0000
H -8.4890 4.3333 3.3300
H -3.8373 -1.6336 -0.1193
Nd -6.3789 3.2562 2.5023
Nd -5.9474 -0.5565 0.7085
Tb -2.3627 -1.1486 1.7205
Tb -2.8504 0.2173 -1.3001
Tb -9.9636 3.8483 1.4902
Tb -9.4760 2.4824 4.5108
```

---

# 3
First-principles (PBE) data for an optimized crystal structure of CdFe3Re, as listed in Alexandria via LeMat-Bulk. Values from VASP.

DOS at the Fermi energy, states/eV/f.u.: 8.4
Calculated formation energy, eV per formula unit: 11.5
ΔE to the lowest computed polymorph, meV/atom: 971
M_tot, μB per atom: 1.587

Structure (Quantum ESPRESSO input):
```
&SYSTEM
  ibrav = 0, nat = 5, ntyp = 3
/
ATOMIC_SPECIES
Fe 55.84 Fe.upf
Re 186.21 Re.upf
Cd 112.41 Cd.upf
CELL_PARAMETERS angstrom
-2.1189 4.0274 -0.4758
-1.1961 -0.1076 4.4152
3.8750 2.1690 1.1026
ATOMIC_POSITIONS angstrom
Fe -0.5980 -0.0538 2.2076
Fe -1.0595 2.0137 -0.2379
Fe 1.9375 1.0845 0.5513
Re 0.2800 3.0444 2.5210
Cd 0.0000 0.0000 0.0000
```